Entry 1:
{
  "formula": "BiB6Pt12",
  "functional": "PBE-GGA",
  "state": "relaxed",
  "cell": [[5.4314, 3.1358, 2.6849], [-5.4314, 3.1358, 2.6849], [0.0000, -6.2716, 2.6849]],
  "species": ["Bi", "B", "B", "B", "B", "B", "B", "Pt", "Pt", "Pt", "Pt", "Pt", "Pt", "Pt", "Pt", "Pt", "Pt", "Pt", "Pt"],
  "frac_coords": [[0.0000, 0.0000, 0.0000], [0.2297, 0.2297, 0.6251], [0.2297, 0.6251, 0.2297], [0.3749, 0.7703, 0.7703], [0.6251, 0.2297, 0.2297], [0.7703, 0.3749, 0.7703], [0.7703, 0.7703, 0.3749], [0.1257, 0.5000, 0.8743], [0.1257, 0.8743, 0.5000], [0.1821, 0.4587, 0.4587], [0.4587, 0.1821, 0.4587], [0.4587, 0.4587, 0.1821], [0.5000, 0.1257, 0.8743], [0.5000, 0.8743, 0.1257], [0.5413, 0.5413, 0.8179], [0.5413, 0.8179, 0.5413], [0.8179, 0.5413, 0.5413], [0.8743, 0.1257, 0.5000], [0.8743, 0.5000, 0.1257]],
  "e_tot_ev_per_cell": -118.34,
  "e_form_ev_per_atom": -0.1000,
  "volume_a3_per_cell": 274
}

Entry 2:
{
  "formula": "Bi2BPt",
  "functional": "PBE-GGA",
  "state": "relaxed",
  "cell": [[6.0818, 0.0000, 0.0000], [0.0000, 6.0818, 0.0000], [0.0000, 0.0000, 10.9166]],
  "species": ["Bi", "Bi", "Bi", "Bi", "Bi", "Bi", "Bi", "Bi", "B", "B", "B", "B", "Pt", "Pt", "Pt", "Pt"],
  "frac_coords": [[0.2083, 0.2500, 0.1250], [0.2500, 0.7083, 0.3750], [0.2500, 0.7917, 0.8750], [0.2917, 0.2500, 0.6250], [0.7083, 0.7500, 0.6250], [0.7500, 0.2083, 0.8750], [0.7500, 0.2917, 0.3750], [0.7917, 0.7500, 0.1250], [0.0000, 0.0000, 0.0000], [0.0000, 0.5000, 0.2500], [0.5000, 0.0000, 0.7500], [0.5000, 0.5000, 0.5000], [0.0000, 0.0000, 0.5000], [0.0000, 0.5000, 0.7500], [0.5000, 0.0000, 0.2500], [0.5000, 0.5000, 0.0000]],
  "e_tot_ev_per_cell": -73.75,
  "e_form_ev_per_atom": 0.5105,
  "volume_a3_per_cell": 404
}